Record 1
A relaxed structure of PrTc2Ge2N, computed with PBE-GGA.

Lattice parameters (Å, degrees): 4.176 4.176 5.580 90.00 90.00 90.00
Space group P4/mmm (No. 123)
Inequivalent atoms, fractional coordinates:
Pr 0.000 0.000 0.000 [1 per cell]
Tc 0.000 0.500 0.500 [2 per cell]
Ge 0.500 0.500 0.220 [2 per cell]
N 0.000 0.000 0.500 [1 per cell]

Calculated values
size of the total moment = 0.00 Bohr magnetons per cell
formation energy (no corrections) = -0.45 eV per atom



Record 2
A relaxed structure of Pm4Te2IrSe, computed with PBE-GGA.

Lattice parameters (Å, degrees): 7.557 4.244 7.691 90.00 108.43 90.00
Space group P2/m (No. 10)
Inequivalent atoms, fractional coordinates:
Pm 0.221 0.000 0.210 [2 per cell]
Pm 0.246 0.500 0.778 [2 per cell]
Te 0.000 0.000 0.500 [1 per cell]
Te 0.500 0.500 0.500 [1 per cell]
Ir 0.000 0.500 0.000 [1 per cell]
Se 0.500 0.000 0.000 [1 per cell]

Calculated values
size of the total moment = 0.00 Bohr magnetons per cell
formation energy (no corrections) = -1.35 eV per atom



Record 3
A relaxed structure of K3ErBi2Se6, computed with PBE-GGA.

Lattice parameters (Å, degrees): 7.417 12.846 8.093 90.00 107.78 90.00
Space group C2/m (No. 12)
Inequivalent atoms, fractional coordinates:
K 0.000 0.000 0.000 [2 per cell]
K 0.000 0.329 0.000 [4 per cell]
Er 0.000 0.500 0.500 [2 per cell]
Bi 0.000 0.166 0.500 [4 per cell]
Se 0.231 0.338 0.708 [8 per cell]
Se 0.246 0.000 0.709 [4 per cell]

Calculated values
size of the total moment = 0.00 Bohr magnetons per cell
formation energy (no corrections) = -1.12 eV per atom



Record 4
A relaxed structure of Ce2PmIO4, computed with PBE-GGA.

Lattice parameters (Å, degrees): 4.058 4.058 9.425 90.00 90.00 90.00
Space group P4/mmm (No. 123)
Inequivalent atoms, fractional coordinates:
Ce 0.000 0.000 0.241 [2 per cell]
Pm 0.500 0.500 0.500 [1 per cell]
I 0.500 0.500 0.000 [1 per cell]
O 0.000 0.500 0.347 [4 per cell]

Calculated values
size of the total moment = 2.01 Bohr magnetons per cell
formation energy (no corrections) = -3.07 eV per atom



Record 5
A relaxed structure of TiBSe2N, computed with PBE-GGA.

Lattice parameters (Å, degrees): 5.055 5.055 3.749 90.00 90.00 90.00
Space group P4/mmm (No. 123)
Inequivalent atoms, fractional coordinates:
Ti 0.000 0.000 0.000 [1 per cell]
B 0.500 0.500 0.500 [1 per cell]
Se 0.000 0.500 0.000 [2 per cell]
N 0.000 0.000 0.500 [1 per cell]

Calculated values
energy above the lowest structure with this stoichiometry = 381 kJ/mol of formula units
size of the total moment = 0.00 Bohr magnetons per cell
formation energy (no corrections) = 0.79 eV per atom



Record 6
A relaxed structure of Mn2NbGeN, computed with PBE-GGA.

Lattice parameters (Å, degrees): 3.814 3.814 4.331 90.00 90.00 90.00
Space group P4/mmm (No. 123)
Inequivalent atoms, fractional coordinates:
Mn 0.000 0.500 0.000 [2 per cell]
Nb 0.000 0.000 0.500 [1 per cell]
Ge 0.500 0.500 0.500 [1 per cell]
N 0.000 0.000 0.000 [1 per cell]

Calculated values
size of the total moment = 3.43 Bohr magnetons per cell
formation energy (no corrections) = -0.34 eV per atom



Record 7
A relaxed structure of LiLa2SiP, computed with PBE-GGA.

Lattice parameters (Å, degrees): 5.535 5.535 3.985 90.00 90.00 90.00
Space group P4/mmm (No. 123)
Inequivalent atoms, fractional coordinates:
Li 0.000 0.000 0.000 [1 per cell]
La 0.000 0.500 0.000 [2 per cell]
Si 0.500 0.500 0.500 [1 per cell]
P 0.000 0.000 0.500 [1 per cell]

Calculated values
size of the total moment = 0.00 Bohr magnetons per cell
formation energy (no corrections) = -0.17 eV per atom



Record 8
A relaxed structure of Ce2Zn3Ga4Cu, computed with PBE-GGA.

Lattice parameters (Å, degrees): 4.254 4.254 10.410 90.00 90.00 90.00
Space group P-4m2 (No. 115)
Inequivalent atoms, fractional coordinates:
Ce 0.000 0.500 0.243 [2 per cell]
Zn 0.000 0.000 0.000 [1 per cell]
Zn 0.000 0.500 0.638 [2 per cell]
Ga 0.000 0.000 0.500 [1 per cell]
Ga 0.000 0.500 0.872 [2 per cell]
Ga 0.500 0.500 0.500 [1 per cell]
Cu 0.500 0.500 0.000 [1 per cell]

Calculated values
energy relative to the elements = -0.4147 eV/atom
size of the total moment = 1.29 Bohr magnetons per cell



Record 9
A relaxed structure of Ac2CeSb4Ir3, computed with PBE-GGA.

Lattice parameters (Å, degrees): 4.641 4.641 11.835 90.00 90.00 90.00
Space group P-4m2 (No. 115)
Inequivalent atoms, fractional coordinates:
Ac 0.000 0.500 0.227 [2 per cell]
Ce 0.000 0.000 0.500 [1 per cell]
Sb 0.000 0.000 0.000 [1 per cell]
Sb 0.000 0.500 0.664 [2 per cell]
Sb 0.500 0.500 0.000 [1 per cell]
Ir 0.000 0.500 0.890 [2 per cell]
Ir 0.500 0.500 0.500 [1 per cell]

Calculated values
size of the total moment = 0.63 Bohr magnetons per cell
formation energy (no corrections) = -0.66 eV per atom



Record 10
A relaxed structure of B5C7, computed with PBE-GGA.

Lattice parameters (Å, degrees): 13.718 2.534 4.817 90.00 106.65 90.00
Space group Cm (No. 8)
Inequivalent atoms, fractional coordinates:
B 0.000 0.000 0.000 [2 per cell]
B 0.054 0.500 0.268 [2 per cell]
B 0.155 0.000 0.911 [2 per cell]
B 0.225 0.000 0.528 [2 per cell]
B 0.337 0.500 0.174 [2 per cell]
C 0.003 0.500 0.534 [2 per cell]
C 0.044 0.000 0.706 [2 per cell]
C 0.174 0.500 0.359 [2 per cell]
C 0.214 0.500 0.088 [2 per cell]
C 0.343 0.000 0.698 [2 per cell]
C 0.378 0.500 0.880 [2 per cell]
C 0.387 0.000 0.421 [2 per cell]

Calculated values
energy above the lowest structure with this stoichiometry = 121 kJ/mol of formula units
energy relative to the elements = 0.3622 eV/atom
size of the total moment = 0.00 Bohr magnetons per cell